# Y6Tm8Tl | Alexandria via LeMat-Bulk | GGA-PBE | optimized geometry
# Magnetic moment ... 0.0000 μB per atom
# Total energy ... -73.770 eV/cell
# Formation energy ... 0.21 eV per atom
data_Y6Tm8Tl
_chemical_formula_sum 'Y6 Tm8 Tl1'
_space_group_name_H-M_alt 'P -3'
_space_group_IT_number 147
_cell_length_a 9.1501
_cell_length_b 9.1501
_cell_length_c 6.6663
_cell_angle_alpha 90.00
_cell_angle_beta 90.00
_cell_angle_gamma 120.00
loop_
_space_group_symop_operation_xyz
'x,y,z'
'-x,-y,-z'
'-y,x-y,z'
'y,-x+y,-z'
'-x+y,-x,z'
'x-y,x,-z'
loop_
_atom_site_label
_atom_site_fract_x
_atom_site_fract_y
_atom_site_fract_z
Y1 0.0871 0.4019 0.4008
Tm1 0.0178 0.6829 0.1033
Tm2 0.3333 0.6667 0.8209
Tl1 0.0000 0.0000 0.5000

# NpTe4Pt | Alexandria via LeMat-Bulk | GGA-PBE | optimized geometry
# Magnetic moment ... 0.5402 μB per atom
# Uncorrected formation energy ... -0.279 eV per atom
# Total energy ... -66.444 eV/cell
data_NpTe4Pt
_chemical_formula_sum 'Np2 Te8 Pt2'
_space_group_name_H-M_alt 'P 1 21/c 1'
_space_group_IT_number 14
_cell_length_a 7.370
_cell_length_b 7.109
_cell_length_c 6.907
_cell_angle_alpha 90.00
_cell_angle_beta 98.57
_cell_angle_gamma 90.00
loop_
_space_group_symop_operation_xyz
'x,y,z'
'-x,-y,-z'
'-x,y+1/2,-z+1/2'
'x,-y+1/2,z+1/2'
loop_
_atom_site_label
_atom_site_fract_x
_atom_site_fract_y
_atom_site_fract_z
Np1 0.000 0.000 0.000
Te1 0.185 0.164 0.382
Te2 0.317 0.712 0.263
Pt1 0.500 0.000 0.500

# Pm2Dy3HoSb6 | Alexandria via LeMat-Bulk | GGA-PBE | optimized geometry
# Magnetic moment ... 0.0000 μB per atom
# Uncorrected formation energy ... -1.145 eV per atom
# Total energy ... -132.710 eV/cell
data_Pm2Dy3HoSb6
_chemical_formula_sum 'Pm4 Dy6 Ho2 Sb12'
_space_group_name_H-M_alt 'C 1 2/m 1'
_space_group_IT_number 12
_cell_length_a 19.252
_cell_length_b 4.419
_cell_length_c 8.834
_cell_angle_alpha 90.00
_cell_angle_beta 103.22
_cell_angle_gamma 90.00
loop_
_space_group_symop_operation_xyz
'x,y,z'
'-x,-y,-z'
'-x,y,-z'
'x,-y,z'
'x+1/2,y+1/2,z'
'-x+1/2,-y+1/2,-z'
'-x+1/2,y+1/2,-z'
'x+1/2,-y+1/2,z'
loop_
_atom_site_label
_atom_site_fract_x
_atom_site_fract_y
_atom_site_fract_z
Pm1 0.166 0.000 0.333
Dy1 0.000 0.500 0.500
Dy2 0.168 0.000 0.834
Ho1 0.000 0.500 0.000
Sb1 0.002 0.000 0.752
Sb2 0.165 0.500 0.587
Sb3 0.166 0.500 0.078

# ThTiGe2 | Alexandria via LeMat-Bulk | GGA-PBE | optimized geometry
# Magnetic moment ... 0.0001 μB per atom
# Total energy ... -78.388 eV/cell
# Formation energy ... -0.39 eV per atom
data_ThTiGe2
_chemical_formula_sum 'Th3 Ti3 Ge6'
_space_group_name_H-M_alt 'P 31 2 1'
_space_group_IT_number 152
_cell_length_a 6.3289
_cell_length_b 6.3289
_cell_length_c 7.6018
_cell_angle_alpha 90.00
_cell_angle_beta 90.00
_cell_angle_gamma 120.00
loop_
_space_group_symop_operation_xyz
'x,y,z'
'-y,x-y,z+1/3'
'-x+y,-x,z+2/3'
'y,x,-z'
'x-y,-y,-z+2/3'
'-x,-x+y,-z+1/3'
loop_
_atom_site_label
_atom_site_fract_x
_atom_site_fract_y
_atom_site_fract_z
Th1 0.0000 0.6427 0.1667
Ti1 0.0000 0.7836 0.6667
Ge1 0.1316 0.5056 0.8191